w:
Entry from Alexandria via LeMat-Bulk: an optimized crystal structure of BaCoSb2Te (PBE).

Summary:
Symmetry: P4/mmm, No. 123

Lattice parameters (Å, degrees): 4.9662 4.9662 5.8946 90.00 90.00 90.00
Closest atoms and distances in Å follow each position.
Positions (direct):
Ba1 0.0000 0.0000 0.0000  4 Te 3.51, 8 Sb 3.85
Co1 0.5000 0.5000 0.5000  4 Sb 2.48
Sb1 0.0000 0.5000 0.5000  2 Co 2.48
Sb2 0.5000 0.0000 0.5000  2 Co 2.48
Te1 0.5000 0.5000 0.0000  2 Co 2.95

x:
Entry from Alexandria via LeMat-Bulk: an optimized crystal structure of BaCoSb2Te (PBE).

Summary:
Symmetry: P4/mmm, No. 123

Lattice parameters (Å, degrees): 6.3376 6.3376 6.3379 90.00 90.00 90.00
Closest atoms and distances in Å follow each position.
Positions (direct):
Ba1 0.0000 0.0000 0.0000  4 Sb 3.17, 2 Te 3.17
Co1 0.5000 0.5000 0.5000  4 Te 4.48, 8 Sb 4.48
Sb1 0.0000 0.5000 0.0000  2 Ba 3.17
Sb2 0.5000 0.0000 0.0000  2 Ba 3.17
Te1 0.0000 0.0000 0.5000  2 Ba 3.17

The most stable of them is w.

w:
Entry from Alexandria via LeMat-Bulk: an optimized crystal structure of BaCoSe3 (PBE).

Summary:
Symmetry: Pm-3m, No. 221

Lattice parameters (Å, degrees): 4.9294 4.9294 4.9294 90.00 90.00 90.00
Closest atoms and distances in Å follow each position.
Positions (direct):
Ba1 0.0000 0.0000 0.0000  12 Se 3.49
Co1 0.5000 0.5000 0.5000  6 Se 2.46
Se1 0.0000 0.5000 0.5000  2 Co 2.46
Se2 0.5000 0.0000 0.5000  2 Co 2.46
Se3 0.5000 0.5000 0.0000  2 Co 2.46

x:
Entry from Alexandria via LeMat-Bulk: an optimized crystal structure of BaCoSe3 (PBE).

Summary:
Symmetry: Pm-3m, No. 221

Lattice parameters (Å, degrees): 6.0035 6.0035 6.0035 90.00 90.00 90.00
Closest atoms and distances in Å follow each position.
Positions (direct):
Ba1 0.0000 0.0000 0.0000  6 Se 3.00
Co1 0.5000 0.5000 0.5000  12 Se 4.25
Se1 0.0000 0.0000 0.5000  2 Ba 3.00
Se2 0.0000 0.5000 0.0000  2 Ba 3.00
Se3 0.5000 0.0000 0.0000  2 Ba 3.00

The most stable of them is w.